Density functional theory data (PBE-GGA) for crystalline KZn2NiMo at its relaxed geometry.

Structure (CIF):
```
data_KZn2NiMo
_chemical_formula_sum 'K1 Zn2 Ni1 Mo1'
_cell_length_a 4.798
_cell_length_b 4.798
_cell_length_c 4.635
_cell_angle_alpha 90.00
_cell_angle_beta 90.00
_cell_angle_gamma 90.00
_space_group_name_H-M_alt 'P 4/m m m'
_space_group_IT_number 123
_space_group_name_Hall '-P 4 2'
loop_
_atom_site_label
_atom_site_type_symbol
_atom_site_fract_x
_atom_site_fract_y
_atom_site_fract_z
K1 K 0.000 0.000 0.000
Zn1 Zn 0.000 0.500 0.500
Ni1 Ni 0.500 0.500 0.500
Mo1 Mo 0.500 0.500 0.000
```

Properties
volume = 106.7 Å³/cell
energy of formation from the pure elements = 0.687 eV per atom
energy = -16.8 eV for the cell shown